# 1
This record from Alexandria via LeMat-Bulk describes a relaxed structure of Ba3NdIr2O9. The functional is PBEsol.

The structure in POSCAR format:
```
Ba3NdIr2O9
1.0
5.9159 0.0011 0.0049
-2.9438 5.1315 0.0049
-0.1961 -0.3386 14.8164
Ba O Nd Ir
6 18 2 4
direct
0.3398 0.6725 0.5966
0.0030 0.9970 0.2500
0.3275 0.6602 0.9034
0.6602 0.3275 0.4034
0.6725 0.3398 0.0966
0.9970 0.0030 0.7500
0.8449 0.6657 0.5978
0.1551 0.3343 0.4022
0.4929 0.5071 0.2500
0.5053 0.0191 0.7423
0.3343 0.1551 0.9022
0.6167 0.7982 0.4191
0.1551 0.8001 0.4083
0.3833 0.2018 0.5809
0.0191 0.5053 0.2423
0.2018 0.3833 0.0809
0.6657 0.8449 0.0978
0.8449 0.1999 0.5917
0.1999 0.8449 0.0917
0.4947 0.9809 0.2577
0.9809 0.4947 0.7577
0.5071 0.4929 0.7500
0.8001 0.1551 0.9083
0.7982 0.6167 0.9191
0.0000 0.0000 0.5000
0.0000 0.0000 0.0000
0.3457 0.6775 0.1662
0.6775 0.3457 0.6662
0.6543 0.3225 0.8338
0.3225 0.6543 0.3338
```

Output
The value obtained for the density is 8.007 g cm⁻³. Its formation energy without anion corrections is -2.093 eV/atom.

# 2
This record from Alexandria via LeMat-Bulk describes a relaxed structure of Co2ReHg. The functional is PBEsol.

The structure in POSCAR format:
```
Co2ReHg
1.0
2.7126 0.0000 0.0000
0.0000 2.7126 0.0000
0.0000 0.0000 7.2950
Hg Co Re
1 2 1
direct
0.5000 0.5000 0.0000
0.0000 0.0000 0.2752
0.0000 0.0000 0.7248
0.5000 0.5000 0.5000
```

Output
The value obtained for the density is 15.612 g cm⁻³. The calculation puts the formation energy at 0.181 eV/atom.

# 3
This record from Alexandria via LeMat-Bulk describes a relaxed structure of CaSi2Ni. The functional is PBEsol.

The structure in POSCAR format:
```
CaSi2Ni
1.0
-1.2765 -1.1442 -2.6157
2.8322 -0.1464 -1.3181
0.7517 -6.0733 2.2897
Ni Ca Si
1 1 2
direct
0.5000 0.5000 0.8391
0.0000 0.0000 0.5027
0.5000 0.5000 0.1916
0.0000 0.0000 0.9666
```

Output
The value obtained for the density is 4.026 g cm⁻³. Its formation energy without anion corrections is -0.250 eV/atom.

Calculated E (eV/atom), listed in the same order as above: -7.33 -7.16 -5.20